Record 1
NaY2ScMn | PBE-GGA | relaxed Values from VASP.

Structure (Quantum ESPRESSO input):
```
&SYSTEM
  ibrav = 0, nat = 5, ntyp = 4
/
ATOMIC_SPECIES
Y 88.91 Y.upf
Sc 44.96 Sc.upf
Mn 54.94 Mn.upf
Na 22.99 Na.upf
ATOMIC_POSITIONS angstrom
Y -0.9772 -0.0334 2.4902
Y -1.2401 -2.3133 -0.5176
Sc -0.4044 -3.4743 2.6689
Mn 1.8129 -1.1277 0.6963
Na 0.0000 0.0000 0.0000
CELL_PARAMETERS angstrom
-2.4802 -4.6265 -1.0353
3.6258 -2.2554 1.3927
-1.9544 -0.0667 4.9803
```

Summary:
E (eV for the cell shown): -24.3
Energy of formation (kJ/mol of atoms): 104.9



Record 2
SrTc2Os | PBE-GGA | relaxed Values from VASP.

Structure (Quantum ESPRESSO input):
```
&SYSTEM
  ibrav = 0, nat = 4, ntyp = 3
/
ATOMIC_SPECIES
Os 190.23 Os.upf
Sr 87.62 Sr.upf
Tc 98.00 Tc.upf
ATOMIC_POSITIONS angstrom
Os 0.0000 0.0000 3.9470
Sr 1.1475 1.6749 6.4965
Tc 0.0000 0.0000 0.4028
Tc 1.1475 1.6749 2.3055
CELL_PARAMETERS angstrom
2.8218 0.5278 0.0000
-0.5268 2.8220 0.0000
0.0000 0.0000 8.7678
```

Summary:
E (eV for the cell shown): -31.1
Offset from the most stable computed form (eV/atom): 0.019
Energy of formation (kJ/mol of atoms): 60.7